# 1
NaHg3MoSe4: optimized geometry, PBE.

abc: 7.2659 7.2659 7.2659
angles: 90.00 90.00 90.00
Space group P-43m (No. 215)
One atom of each set of equivalent atoms:
Na1 0.0000 0.0000 0.0000 x1
Hg1 0.0000 0.5000 0.5000 x3
Mo1 0.5000 0.5000 0.5000 x1
Se1 0.3107 0.3107 0.3107 x4

Properties
- E: -3.09 eV/atom


# 2
Na2HgMoSe4: optimized geometry, PBE.

abc: 9.5745 10.6527 6.7692
angles: 90.00 134.97 90.00
Space group C2 (No. 5)
One atom of each set of equivalent atoms:
Na1 0.0000 0.0000 0.0000 x2
Na2 0.0000 0.2491 0.5000 x2
Hg1 0.0000 0.7502 0.5000 x2
Mo1 0.0000 0.4997 0.0000 x2
Se1 0.2058 0.6170 0.9826 x4
Se2 0.2229 0.3827 0.4292 x4

Properties
- E: -3.96 eV/atom


# 3
NaHg3Te4Mo: optimized geometry, PBE.

abc: 6.8809 6.8809 6.8809
angles: 90.00 90.00 90.00
Space group P-43m (No. 215)
One atom of each set of equivalent atoms:
Na1 0.0000 0.0000 0.0000 x1
Hg1 0.0000 0.5000 0.5000 x3
Te1 0.2601 0.2601 0.2601 x4
Mo1 0.5000 0.5000 0.5000 x1

Properties
- E: -2.74 eV/atom


# 4
Nb2HgMo: optimized geometry, PBE.

abc: 6.6075 6.6075 6.6075
angles: 90.00 90.00 90.00
Space group F-43m (No. 216)
One atom of each set of equivalent atoms:
Nb1 0.0000 0.0000 0.0000 x4
Nb2 0.2500 0.2500 0.2500 x4
Hg1 0.2500 0.2500 0.7500 x4
Mo1 0.0000 0.0000 0.5000 x4

Properties
- E: -7.45 eV/atom
- Formation energy: 0.379 eV per atom


# 5
NiHgMo2: optimized geometry, PBE.

abc: 6.3403 6.3403 6.3403
angles: 90.00 90.00 90.00
Space group F-43m (No. 216)
One atom of each set of equivalent atoms:
Ni1 0.0000 0.0000 0.0000 x4
Hg1 0.2500 0.2500 0.2500 x4
Mo1 0.0000 0.0000 0.5000 x4
Mo2 0.2500 0.2500 0.7500 x4

Properties
- E: -6.34 eV/atom
- Formation energy: 0.548 eV per atom


# 6
NiHgSbMo: optimized geometry, PBE.

abc: 6.6996 6.6996 6.6996
angles: 90.00 90.00 90.00
Space group F-43m (No. 216)
One atom of each set of equivalent atoms:
Ni1 0.0000 0.0000 0.0000 x4
Hg1 0.0000 0.0000 0.5000 x4
Sb1 0.2500 0.2500 0.7500 x4
Mo1 0.2500 0.2500 0.2500 x4

Properties
- E: -4.47 eV/atom


# 7
NiHgSbMo: optimized geometry, PBE.

abc: 6.5204 6.5204 6.5204
angles: 90.00 90.00 90.00
Space group F-43m (No. 216)
One atom of each set of equivalent atoms:
Ni1 0.0000 0.0000 0.0000 x4
Hg1 0.2500 0.2500 0.2500 x4
Sb1 0.2500 0.2500 0.7500 x4
Mo1 0.0000 0.0000 0.5000 x4

Properties
- E: -4.78 eV/atom


# 8
SiNiHgMo: optimized geometry, PBE.

abc: 6.2271 6.2271 6.2271
angles: 90.00 90.00 90.00
Space group F-43m (No. 216)
One atom of each set of equivalent atoms:
Si1 0.0000 0.0000 0.0000 x4
Ni1 0.2500 0.2500 0.2500 x4
Hg1 0.0000 0.0000 0.5000 x4
Mo1 0.2500 0.2500 0.7500 x4

Properties
- E: -5.17 eV/atom


# 9
SiNiHgMo: optimized geometry, PBE.

abc: 6.3478 6.3478 6.3478
angles: 90.00 90.00 90.00
Space group F-43m (No. 216)
One atom of each set of equivalent atoms:
Si1 0.0000 0.0000 0.0000 x4
Ni1 0.2500 0.2500 0.2500 x4
Hg1 0.2500 0.2500 0.7500 x4
Mo1 0.0000 0.0000 0.5000 x4

Properties
- E: -4.80 eV/atom


# 10
TlNiHgMo: optimized geometry, PBE.

abc: 6.6433 6.6433 6.6433
angles: 90.00 90.00 90.00
Space group F-43m (No. 216)
One atom of each set of equivalent atoms:
Tl1 0.0000 0.0000 0.0000 x4
Ni1 0.2500 0.2500 0.2500 x4
Hg1 0.2500 0.2500 0.7500 x4
Mo1 0.0000 0.0000 0.5000 x4

Properties
- E: -3.97 eV/atom


# 11
TlNiHgMo: optimized geometry, PBE.

abc: 6.6045 6.6045 6.6045
angles: 90.00 90.00 90.00
Space group F-43m (No. 216)
One atom of each set of equivalent atoms:
Tl1 0.0000 0.0000 0.0000 x4
Ni1 0.2500 0.2500 0.2500 x4
Hg1 0.0000 0.0000 0.5000 x4
Mo1 0.2500 0.2500 0.7500 x4

Properties
- E: -4.08 eV/atom


# 12
ZnNiHgMo: optimized geometry, PBE.

abc: 6.3139 6.3139 6.3139
angles: 90.00 90.00 90.00
Space group F-43m (No. 216)
One atom of each set of equivalent atoms:
Zn1 0.0000 0.0000 0.0000 x4
Ni1 0.2500 0.2500 0.2500 x4
Hg1 0.2500 0.2500 0.7500 x4
Mo1 0.0000 0.0000 0.5000 x4

Properties
- E: -4.01 eV/atom
- Formation energy: 0.483 eV per atom


# 13
ZnNiHgMo: optimized geometry, PBE.

abc: 6.3045 6.3045 6.3045
angles: 90.00 90.00 90.00
Space group F-43m (No. 216)
One atom of each set of equivalent atoms:
Zn1 0.0000 0.0000 0.0000 x4
Ni1 0.2500 0.2500 0.2500 x4
Hg1 0.0000 0.0000 0.5000 x4
Mo1 0.2500 0.2500 0.7500 x4

Properties
- E: -4.02 eV/atom
- Formation energy: 0.474 eV per atom


# 14
NpHgMo: optimized geometry, PBE.

abc: 6.6228 6.6228 6.6228
angles: 90.00 90.00 90.00
Space group F-43m (No. 216)
One atom of each set of equivalent atoms:
Np1 0.0000 0.0000 0.0000 x4
Hg1 0.2500 0.2500 0.7500 x4
Mo1 0.0000 0.0000 0.5000 x4

Properties
- E: -6.73 eV/atom
- Formation energy: 1.246 eV per atom


# 15
Hg2MoOs: optimized geometry, PBE.

abc: 6.5634 6.5634 6.5634
angles: 90.00 90.00 90.00
Space group F-43m (No. 216)
One atom of each set of equivalent atoms:
Hg1 0.0000 0.0000 0.0000 x4
Hg2 0.2500 0.2500 0.2500 x4
Mo1 0.2500 0.2500 0.7500 x4
Os1 0.0000 0.0000 0.5000 x4

Properties
- E: -4.79 eV/atom
- Formation energy: 0.880 eV per atom


# 16
PaHgMo: optimized geometry, PBE.

abc: 6.6944 6.6944 6.6944
angles: 90.00 90.00 90.00
Space group F-43m (No. 216)
One atom of each set of equivalent atoms:
Pa1 0.0000 0.0000 0.0000 x4
Hg1 0.2500 0.2500 0.7500 x4
Mo1 0.0000 0.0000 0.5000 x4

Properties
- E: -5.90 eV/atom
- Formation energy: 0.982 eV per atom


# 17
HgMoPd2: optimized geometry, PBE.

abc: 6.4272 6.4272 6.4272
angles: 90.00 90.00 90.00
Space group F-43m (No. 216)
One atom of each set of equivalent atoms:
Hg1 0.0000 0.0000 0.0000 x4
Mo1 0.2500 0.2500 0.7500 x4
Pd1 0.0000 0.0000 0.5000 x4
Pd2 0.2500 0.2500 0.2500 x4

Properties
- E: -5.09 eV/atom
- Formation energy: 0.280 eV per atom


# 18
HgMoPd6: optimized geometry, PBE.

abc: 3.9737 3.9737 8.0194
angles: 90.00 90.00 90.00
Space group P4/mmm (No. 123)
One atom of each set of equivalent atoms:
Hg1 0.0000 0.0000 0.0000 x1
Mo1 0.0000 0.0000 0.5000 x1
Pd1 0.0000 0.5000 0.2658 x4
Pd2 0.5000 0.5000 0.0000 x1
Pd3 0.5000 0.5000 0.5000 x1

Properties
- E: -5.41 eV/atom
- Formation energy: -0.139 eV per atom


# 19
PrHgMo: optimized geometry, PBE.

abc: 6.9406 6.9406 6.9406
angles: 90.00 90.00 90.00
Space group F-43m (No. 216)
One atom of each set of equivalent atoms:
Pr1 0.0000 0.0000 0.0000 x4
Hg1 0.2500 0.2500 0.7500 x4
Mo1 0.0000 0.0000 0.5000 x4

Properties
- E: -4.50 eV/atom
- Formation energy: 0.811 eV per atom


# 20
RbHg3MoSe4: optimized geometry, PBE.

abc: 7.2458 7.2458 7.2458
angles: 90.00 90.00 90.00
Space group P-43m (No. 215)
One atom of each set of equivalent atoms:
Rb1 0.0000 0.0000 0.0000 x1
Hg1 0.0000 0.5000 0.5000 x3
Mo1 0.5000 0.5000 0.5000 x1
Se1 0.3109 0.3109 0.3109 x4

Properties
- E: -3.19 eV/atom


# 21
RbHg3Te4Mo: optimized geometry, PBE.

abc: 7.5235 7.5235 7.5235
angles: 90.00 90.00 90.00
Space group P-43m (No. 215)
One atom of each set of equivalent atoms:
Rb1 0.0000 0.0000 0.0000 x1
Hg1 0.0000 0.5000 0.5000 x3
Te1 0.3027 0.3027 0.3027 x4
Mo1 0.5000 0.5000 0.5000 x1

Properties
- E: -2.88 eV/atom


# 22
Hg3MoS2: optimized geometry, PBE.

abc: 3.8325 3.8325 10.4626
angles: 90.00 90.00 120.00
Space group P-3m1 (No. 164)
One atom of each set of equivalent atoms:
Hg1 0.0000 0.0000 0.0000 x1
Hg2 0.3333 0.6667 0.3194 x2
Mo1 0.0000 0.0000 0.5000 x1
S1 0.3333 0.6667 0.8402 x2

Properties
- E: -2.84 eV/atom


# 23
TlHg3MoS4: optimized geometry, PBE.

abc: 7.1630 7.1630 7.1630
angles: 90.00 90.00 90.00
Space group P-43m (No. 215)
One atom of each set of equivalent atoms:
Tl1 0.0000 0.0000 0.0000 x1
Hg1 0.0000 0.5000 0.5000 x3
Mo1 0.5000 0.5000 0.5000 x1
S1 0.3196 0.3196 0.3196 x4

Properties
- E: -3.41 eV/atom


# 24
HgSb2Mo: optimized geometry, PBE.

abc: 7.1302 7.1302 7.1302
angles: 90.00 90.00 90.00
Space group F-43m (No. 216)
One atom of each set of equivalent atoms:
Hg1 0.0000 0.0000 0.0000 x4
Sb1 0.0000 0.0000 0.5000 x4
Sb2 0.2500 0.2500 0.2500 x4
Mo1 0.2500 0.2500 0.7500 x4

Properties
- E: -4.09 eV/atom


# 25
HgMo2Se4: optimized geometry, PBE.

abc: 11.1461 11.1461 11.1461
angles: 90.00 90.00 90.00
Space group Fd-3m (No. 227, origin choice 2)
One atom of each set of equivalent atoms:
Hg1 0.1250 0.1250 0.1250 x8
Mo1 0.0000 0.0000 0.5000 x16
Se1 0.0143 0.0143 0.7357 x32

Properties
- E: -5.27 eV/atom


# 26
SmHgMo: optimized geometry, PBE.

abc: 6.9510 6.9510 6.9510
angles: 90.00 90.00 90.00
Space group F-43m (No. 216)
One atom of each set of equivalent atoms:
Sm1 0.0000 0.0000 0.0000 x4
Hg1 0.2500 0.2500 0.7500 x4
Mo1 0.2500 0.2500 0.2500 x4

Properties
- E: -4.21 eV/atom
- Formation energy: 1.078 eV per atom


# 27
SmHgMo: optimized geometry, PBE.

abc: 6.8515 6.8515 6.8515
angles: 90.00 90.00 90.00
Space group F-43m (No. 216)
One atom of each set of equivalent atoms:
Sm1 0.0000 0.0000 0.0000 x4
Hg1 0.2500 0.2500 0.7500 x4
Mo1 0.0000 0.0000 0.5000 x4

Properties
- E: -4.51 eV/atom
- Formation energy: 0.777 eV per atom


# 28
SnHgMo: optimized geometry, PBE.

abc: 6.5876 6.5876 6.5876
angles: 90.00 90.00 90.00
Space group F-43m (No. 216)
One atom of each set of equivalent atoms:
Sn1 0.0000 0.0000 0.0000 x4
Hg1 0.0000 0.0000 0.5000 x4
Mo1 0.2500 0.2500 0.7500 x4

Properties
- E: -4.38 eV/atom